# CaAc4Ni4 | the Alexandria database | PBE-GGA | relaxed
data_CaAc4Ni4
_space_group_name_H-M_alt 'I 4/m'
_space_group_IT_number 87
_space_group_name_Hall '-I 4'
_cell_length_a 9.434
_cell_length_b 9.434
_cell_length_c 5.940
_cell_angle_alpha 90.00
_cell_angle_beta 90.00
_cell_angle_gamma 90.00
loop_
_atom_site_label
_atom_site_fract_x
_atom_site_fract_y
_atom_site_fract_z
Ca1 0.000 0.000 0.000
Ac1 0.103 0.690 0.500
Ni1 0.104 0.704 0.000
# Density of states at the Fermi level = 11.488 states/eV per cell
# Spin magnetization = 0.0 μB/cell
# Formation energy from the elements = -144 kJ/mol of formula units